Record 1
# HfMnBr6, optimized geometry, DFT PBE
data_HfMnBr6
_cell_length_a 6.5957
_cell_length_b 13.5263
_cell_length_c 6.5922
_cell_angle_alpha 90.00
_cell_angle_beta 109.51
_cell_angle_gamma 90.00
_symmetry_space_group_name_H-M 'C 1 2/m 1'
_symmetry_Int_Tables_number 12
loop_
_symmetry_equiv_pos_as_xyz
'x,y,z'
'-x,-y,-z'
'-x,y,-z'
'x,-y,z'
'x+1/2,y+1/2,z'
'-x+1/2,-y+1/2,-z'
'-x+1/2,y+1/2,-z'
'x+1/2,-y+1/2,z'
loop_
_atom_site_label
_atom_site_type_symbol
_atom_site_fract_x
_atom_site_fract_y
_atom_site_fract_z
_atom_site_occupancy
Hf1 Hf 0.0000 0.0000 0.0000 1
Mn1 Mn 0.0000 0.5000 0.5000 1
Br1 Br 0.2402 0.0000 0.7592 1
Br2 Br 0.2483 0.1369 0.2483 1
# Mass density, g/cm³: 4.27
# VASP energy, Ry/atom: -0.350
# Formation energy without anion corrections, kJ/mol of atoms: -107.9

Record 2
# HfMnBr2, optimized geometry, DFT PBE
data_HfMnBr2
_cell_length_a 3.3355
_cell_length_b 3.3355
_cell_length_c 30.4060
_cell_angle_alpha 90.00
_cell_angle_beta 90.00
_cell_angle_gamma 120.00
_symmetry_space_group_name_H-M 'R -3 m'
_symmetry_Int_Tables_number 166
_symmetry_space_group_name_Hall '-R 3 2"'
loop_
_atom_site_label
_atom_site_type_symbol
_atom_site_fract_x
_atom_site_fract_y
_atom_site_fract_z
_atom_site_occupancy
Hf1 Hf 0.0000 0.0000 0.0000 1
Mn1 Mn 0.0000 0.0000 0.5000 1
Br1 Br 0.0000 0.0000 0.3983 1
# Mass density, g/cm³: 6.69
# Energy above the most stable polymorph in this dataset, kJ per mole of atoms: 0.0
# Density of states at the Fermi level, states/eV per cell: 5.73
# VASP energy, Ry/atom: -0.426
# Formation energy without anion corrections, kJ/mol of atoms: -16.6

Record 3
# HfMnBr2, optimized geometry, DFT PBE
data_HfMnBr2
_cell_length_a 6.3031
_cell_length_b 6.3031
_cell_length_c 10.3861
_cell_angle_alpha 90.00
_cell_angle_beta 90.00
_cell_angle_gamma 90.00
_symmetry_space_group_name_H-M 'I -4 2 d'
_symmetry_Int_Tables_number 122
_symmetry_space_group_name_Hall 'I -4 2bw'
loop_
_atom_site_label
_atom_site_type_symbol
_atom_site_fract_x
_atom_site_fract_y
_atom_site_fract_z
_atom_site_occupancy
Hf1 Hf 0.0000 0.0000 0.0000 1
Mn1 Mn 0.0000 0.0000 0.5000 1
Br1 Br 0.2216 0.2500 0.6250 1
# Mass density, g/cm³: 6.33
# Energy above the most stable polymorph in this dataset, kJ per mole of atoms: 60.3
# Density of states at the Fermi level, states/eV per cell: 11.94
# VASP energy, Ry/atom: -0.380
# Formation energy without anion corrections, kJ/mol of atoms: 43.7